Material: CdCu2Ru
Method: DFT, PBE
State: optimized geometry

Computed properties:
total DFT energy (no corrections) = -16.99 eV for the cell shown
DOS at the Fermi energy = 0.64 states/eV per atom

a = 5.3226 Å, b = 5.3226 Å, c = 5.3226 Å
α = 149.66°, β = 127.66°, γ = 61.71°
Last column: nearest neighbours and their distance in Å.
Element x y z (fractional)
Cd1 0.0000 0.0000 0.0000  4 Ru 2.73, 4 Cu 2.74, 2 Cd 2.79
Cu1 0.2586 0.7586 0.5000  2 Ru 2.61, 6 Cu 2.73-2.79, 2 Cd 2.74
Cu2 0.7414 0.2414 0.5000  2 Ru 2.61, 6 Cu 2.73-2.79, 2 Cd 2.74
Ru1 0.5000 0.5000 0.0000  4 Cu 2.61, 4 Cd 2.73, 2 Ru 2.79